CaNi2AgF PBE+U relaxed; density of states at the Fermi level = 0.791 states/eV/cell; V = 112.3 Å³ per cell; E = -4.5 eV per cell
1.0
4.5124 0.0000 0.0000
0.0000 5.5142 0.0000
0.0000 0.0000 4.5124
Ca Ag F Ni
1 1 1 2
Direct
0.0000 0.0000 0.0000
0.0000 0.5000 0.0000
0.5000 0.5000 0.5000
0.5000 0.0000 0.0000
0.0000 0.0000 0.5000